A geometry-optimized CaTiMoP3O12 structure. Source: Alexandria, functional PBE with a Hubbard U.

Unit cell a=8.964 b=8.964 c=8.964 alpha=58.75 beta=58.75 gamma=58.75
Last column: magnetic moment on the atom in μB.
Sites, in units of the cell vectors:
O  0.929  0.048  0.268  0.00
O  0.099  0.926  0.725  0.01
P  0.453  0.760  0.038  0.01
P  0.038  0.453  0.760  0.01
Ca  0.499  0.499  0.499  0.00
Mo  0.855  0.855  0.855  2.70
Ca  0.999  0.999  0.999  0.00
P  0.953  0.538  0.260  0.01
O  0.808  0.010  0.606  0.01
O  0.548  0.429  0.768  0.00
O  0.871  0.500  0.707  0.00
O  0.000  0.371  0.207  0.00
O  0.371  0.207  0.000  0.00
Ti  0.648  0.648  0.648  0.05
O  0.500  0.707  0.871  0.00
O  0.048  0.268  0.929  0.00
O  0.429  0.768  0.548  0.00
P  0.760  0.038  0.453  0.01
O  0.426  0.599  0.225  0.01
O  0.606  0.808  0.010  0.01
O  0.599  0.225  0.426  0.01
O  0.207  0.000  0.371  0.00
O  0.926  0.725  0.099  0.01
Mo  0.355  0.355  0.355  2.70
O  0.725  0.099  0.926  0.01
O  0.768  0.548  0.429  0.00
P  0.538  0.260  0.953  0.01
O  0.707  0.871  0.500  0.00
O  0.010  0.606  0.808  0.01
Ti  0.148  0.148  0.148  0.05
O  0.308  0.106  0.510  0.01
O  0.225  0.426  0.599  0.01
O  0.106  0.510  0.308  0.01
P  0.260  0.953  0.538  0.01
O  0.510  0.308  0.106  0.01
O  0.268  0.929  0.048  0.00

Calculated values
The space-group type is R3c, No. 161. The value obtained for the total energy is -7.63 eV per atom.